Compound: NiHgF2
Source: the Alexandria database
Functional: PBE+U
Structure: relaxed

The energy is -2.97 eV/atom. The polymorph energy (0 for the lowest one) comes out at 215 meV/atom.

The space group is I-42d (No. 122) and the conventional cell measures 6.5695, 6.5695 and 7.6588 Å, with angles of 90.00, 90.00 and 90.00 degrees. The asymmetric unit holds Ni at (0.0000, 0.0000, 0.0000), Hg at (0.0000, 0.0000, 0.5000) and F at (0.0503, 0.2500, 0.1250).